Entry 1:
# CsZr3Au

A geometry-optimized CsZr3Au structure (PBE-GGA, Alexandria).

## Properties
ΔH_f (0 K) (eV/atom): 0.8519
SG: Pm-3m (221)
Total energy (eV per atom): -5.103
Energy relative to the lowest polymorph listed for this composition (eV per atom): 0.000
Total moment (μB per cell): 0.0

a = 5.3838 Å, b = 5.3838 Å, c = 5.3838 Å
α = 90.00°, β = 90.00°, γ = 90.00°
Element x y z (fractional)
Cs 0.0000 0.0000 0.0000
Zr 0.0000 0.5000 0.5000
Zr 0.5000 0.0000 0.5000
Zr 0.5000 0.5000 0.0000
Au 0.5000 0.5000 0.5000


Entry 2:
# CsZr3Au

A geometry-optimized CsZr3Au structure (PBE-GGA, Alexandria).

## Properties
ΔH_f (0 K) (eV/atom): 1.9852
SG: Pm-3m (221)
Total energy (eV per atom): -3.970
Energy relative to the lowest polymorph listed for this composition (eV per atom): 1.133
Total moment (μB per cell): 2.1

a = 5.2199 Å, b = 5.2199 Å, c = 5.2199 Å
α = 90.00°, β = 90.00°, γ = 90.00°
Element x y z (fractional)
Cs 0.0000 0.0000 0.0000
Zr 0.0000 0.0000 0.5000
Zr 0.0000 0.5000 0.0000
Zr 0.5000 0.0000 0.0000
Au 0.5000 0.5000 0.5000


Entry 3:
# CsZr2Au

A geometry-optimized CsZr2Au structure (PBE-GGA, Alexandria).

## Properties
ΔH_f (0 K) (eV/atom): 0.6851
SG: Fm-3m (225)
Total energy (eV per atom): -4.622
Energy relative to the lowest polymorph listed for this composition (eV per atom): 0.000
Total moment (μB per cell): 0.0

a = 5.0721 Å, b = 5.0721 Å, c = 5.0721 Å
α = 60.00°, β = 60.00°, γ = 60.00°
Element x y z (fractional)
Cs 0.0000 0.0000 0.0000
Zr 0.2500 0.2500 0.2500
Zr 0.7500 0.7500 0.7500
Au 0.5000 0.5000 0.5000


Entry 4:
# Cu3Au7

A geometry-optimized Cu3Au7 structure (PBE-GGA, Alexandria).

## Properties
ΔH_f (0 K) (eV/atom): -0.0124
SG: C2/m (12)
Total energy (eV per atom): -3.535
Total moment (μB per cell): 0.0

a = 7.4933 Å, b = 7.4933 Å, c = 5.7609 Å
α = 102.75°, β = 102.75°, γ = 31.49°
Element x y z (fractional)
Cu 0.0000 0.0000 0.0000
Cu 0.1991 0.1991 0.6079
Cu 0.8009 0.8009 0.3921
Au 0.0000 0.0000 0.5000
Au 0.2028 0.2028 0.1186
Au 0.3909 0.3909 0.6766
Au 0.4043 0.4043 0.1837
Au 0.5957 0.5957 0.8163
Au 0.6091 0.6091 0.3234
Au 0.7972 0.7972 0.8814